1.
First-principles (PBE-GGA) data for a geometry-optimized AcZnAgPd structure, as listed in the Alexandria database.

```
data_AcZnAgPd
_cell_length_a 7.9055
_cell_length_b 4.5823
_cell_length_c 5.8167
_cell_angle_alpha 90.00
_cell_angle_beta 117.13
_cell_angle_gamma 90.00
_space_group_name_H-M_alt 'C 1 m 1'
_space_group_IT_number 8
loop_
_space_group_symop_operation_xyz
'x,y,z'
'x,-y,z'
'x+1/2,y+1/2,z'
'x+1/2,-y+1/2,z'
loop_
_atom_site_label
_atom_site_type_symbol
_atom_site_fract_x
_atom_site_fract_y
_atom_site_fract_z
Ac1 Ac 0.0000 0.0000 0.0000
Zn1 Zn 0.0142 0.5000 0.5430
Ag1 Ag 0.2940 0.5000 0.3828
Pd1 Pd 0.2095 0.0000 0.6285
```

Properties
- DFT formation energy: -0.486 eV per atom
- Total magnetic moment: 0.0000 μB/atom

2.
First-principles (PBE-GGA) data for a geometry-optimized Tl3Hg2Au5 structure, as listed in the Alexandria database.

```
data_Tl3Hg2Au5
_cell_length_a 9.3556
_cell_length_b 21.5115
_cell_length_c 6.0055
_cell_angle_alpha 90.00
_cell_angle_beta 129.89
_cell_angle_gamma 90.00
_space_group_name_H-M_alt 'C 1 2/c 1'
_space_group_IT_number 15
loop_
_space_group_symop_operation_xyz
'x,y,z'
'-x,-y,-z'
'-x,y,-z+1/2'
'x,-y,z+1/2'
'x+1/2,y+1/2,z'
'-x+1/2,-y+1/2,-z'
'-x+1/2,y+1/2,-z+1/2'
'x+1/2,-y+1/2,z+1/2'
loop_
_atom_site_label
_atom_site_type_symbol
_atom_site_fract_x
_atom_site_fract_y
_atom_site_fract_z
Tl1 Tl 0.0000 0.0007 0.2500
Tl2 Tl 0.1446 0.2755 0.1437
Hg1 Hg 0.1681 0.3855 0.6682
Au1 Au 0.0000 0.1562 0.7500
Au2 Au 0.0000 0.1573 0.2500
Au3 Au 0.0000 0.5001 0.2500
Au4 Au 0.2303 0.4156 0.2306
```

Properties
- DFT formation energy: 0.026 eV per atom
- Total magnetic moment: 0.0000 μB/atom

3.
First-principles (PBE-GGA) data for a geometry-optimized Ca2NiIr structure, as listed in the Alexandria database.

```
data_Ca2NiIr
_cell_length_a 11.1245
_cell_length_b 3.1667
_cell_length_c 4.9194
_cell_angle_alpha 90.00
_cell_angle_beta 108.19
_cell_angle_gamma 90.00
_space_group_name_H-M_alt 'C 1 m 1'
_space_group_IT_number 8
loop_
_space_group_symop_operation_xyz
'x,y,z'
'x,-y,z'
'x+1/2,y+1/2,z'
'x+1/2,-y+1/2,z'
loop_
_atom_site_label
_atom_site_type_symbol
_atom_site_fract_x
_atom_site_fract_y
_atom_site_fract_z
Ca1 Ca 0.0000 0.0000 0.0000
Ca2 Ca 0.2023 0.0000 0.6480
Ni1 Ni 0.2701 0.5000 0.2060
Ir1 Ir 0.4410 0.0000 0.4572
```

Properties
- DFT formation energy: -0.080 eV per atom
- Total magnetic moment: 0.0000 μB/atom

> What is the total magnetic moment in the first record?

0.0000 μB/atom

> What is the total magnetic moment in the first record?

0.0000 μB/atom